A relaxed HfTaZnMo crystal, computed with PBE.

## Properties
The calculation puts the total energy at -8.522 eV/atom. Its formation energy is -0.2 eV/f.u. The calculated volume comes out at 69.9 Å³ per cell.

a = 4.624 Å, b = 4.624 Å, c = 4.624 Å
α = 60.00°, β = 60.00°, γ = 60.00°
Sites, in units of the cell vectors:
Mo (0.500, 0.500, 0.500)
Hf (0.250, 0.250, 0.250)
Ta (0.750, 0.750, 0.750)
Zn (0.000, 0.000, 0.000)

A relaxed HfTeSeI2 crystal, computed with PBE.

## Properties
Its energy relative to the elements, uncorrected is 79.5 kJ/mol of atoms. Its offset from the most stable computed form is 796.6 meV per atom. The calculation puts the total energy at -3.112 eV/atom. The calculated volume comes out at 171.9 Å³ per cell.

a = 5.616 Å, b = 5.616 Å, c = 5.450 Å
α = 90.00°, β = 90.00°, γ = 90.00°
Sites, in units of the cell vectors:
Hf (0.500, 0.500, 0.500)
Se (0.000, 0.000, 0.000)
Te (0.000, 0.000, 0.500)
I (0.500, 0.000, 0.000)
I (0.000, 0.500, 0.000)

A relaxed Nb2VW4 crystal, computed with PBE.

## Properties
Its offset from the most stable computed form is 0.0 meV per atom. The calculation puts the total energy at -11.182 eV/atom. Its formation energy is 2.8 eV/f.u. The calculated volume comes out at 124.9 Å³ per cell.

a = 4.384 Å, b = 4.553 Å, c = 7.720 Å
α = 125.88°, β = 90.00°, γ = 90.00°
Sites, in units of the cell vectors:
W (0.500, 0.254, 0.968)
Nb (0.500, 0.506, 0.720)
W (0.500, 0.995, 0.210)
Nb (0.500, 0.732, 0.447)
V (0.000, 0.759, 0.974)
W (0.000, 0.007, 0.722)
W (0.000, 0.246, 0.461)

A relaxed SrMnZn2 crystal, computed with PBE.

## Properties
The calculation puts the total energy at -3.087 eV/atom. Its formation energy is 1.1 eV/f.u. The calculated volume comes out at 213.1 Å³ per cell.

a = 4.881 Å, b = 4.881 Å, c = 9.590 Å
α = 75.26°, β = 75.26°, γ = 90.00°
Sites, in units of the cell vectors:
Mn (0.250, 0.750, 0.500)
Mn (0.500, 0.500, 0.000)
Zn (0.378, 0.125, 0.250)
Sr (0.000, 0.000, 0.000)
Zn (0.372, 0.625, 0.250)
Zn (0.375, 0.622, 0.750)
Zn (0.875, 0.628, 0.750)
Sr (0.750, 0.250, 0.500)